## Ac2CrAgO6 (GGA+U)

Data for Ac2CrAgO6 after structural relaxation.

VASP energy = -69.45 eV per cell
magnetization = 1.0 μB/f.u.

Geometry as POSCAR:
```
Ac2CrAgO6
1.0
5.672 0.000 0.000
0.000 5.672 0.000
0.000 0.000 4.820
Ac Cr Ag O
2 1 1 6
direct
0.000 0.500 0.000
0.500 0.000 0.000
0.000 0.000 0.574
0.500 0.500 0.536
0.000 0.000 0.215
0.220 0.220 0.697
0.220 0.780 0.697
0.500 0.500 0.082
0.780 0.220 0.697
0.780 0.780 0.697
```